# SrSnTeN2

A relaxed SrSnTeN2 crystal (PBE, Alexandria via LeMat-Bulk).

Lattice parameters (Å, degrees): 4.4301 4.4301 5.9164 90.00 90.00 90.00
Fractional positions:
1 Sr 0.0000 0.0000 0.0000
2 Sn 0.5000 0.5000 0.5000
3 Te 0.5000 0.5000 0.0000
4 N 0.0000 0.5000 0.5000
5 N 0.5000 0.0000 0.5000

Calculated values
E   -4.58 eV/atom
D(E_F)   2.09 states/eV/f.u.
Magnetization   2.108 μB/cell